DFT (meta-GGA SCAN) results for a crystal of Ta3AlPb relaxed with PBEsol.

Formation enthalpy at 0 K, kJ/mol of atoms: 227.9
Energy above the lowest structure with this stoichiometry, meV/atom: 1041.6
Crystal system: cubic

abc: 5.0258 5.0258 5.0258
angles: 90.00 90.00 90.00
Atoms (fractional coordinates):
Pb: 0.0000 0.0000 0.0000
Al: 0.5000 0.5000 0.5000
Ta: 0.0000 0.5000 0.0000
Ta: 0.0000 0.0000 0.5000
Ta: 0.5000 0.0000 0.0000

***

DFT (meta-GGA SCAN) results for a crystal of CsPdF2 relaxed with PBEsol.

E_form (uncorrected), eV/atom: -1.257
Crystal system: cubic

abc: 4.6133 4.6133 4.6133
angles: 60.00 60.00 60.00
Atoms (fractional coordinates):
Cs: 0.5000 0.5000 0.5000
Pd: 0.0000 0.0000 0.0000
F: 0.2500 0.2500 0.2500
F: 0.7500 0.7500 0.7500

***

DFT (meta-GGA SCAN) results for a crystal of YAl2Cu relaxed with PBEsol.

Formation enthalpy at 0 K, kJ/mol of atoms: -43.1
Crystal system: trigonal

abc: 4.1171 4.1177 5.6868
angles: 111.23 90.00 119.99
Atoms (fractional coordinates):
Y: 0.0000 0.0000 0.5000
Al: 0.7900 0.5800 0.8700
Al: 0.2100 0.4200 0.1300
Cu: 0.5000 0.0000 0.0000

***

DFT (meta-GGA SCAN) results for a crystal of Li11Mo12O24 relaxed with PBEsol.

E_form (uncorrected), eV/atom: -2.101
Crystal system: triclinic

abc: 6.7503 7.8393 8.8838
angles: 107.82 103.23 83.69
Atoms (fractional coordinates):
Li: 0.8430 0.3250 0.1616
Li: 0.1570 0.6750 0.8384
Li: 0.5000 0.0000 0.5000
Li: 0.0000 0.5000 0.5000
Li: 0.3243 0.8377 0.1581
Li: 0.6757 0.1623 0.8419
Li: 0.8353 0.8377 0.6793
Li: 0.1647 0.1623 0.3207
Li: 0.5000 0.5000 0.0000
Li: 0.3331 0.3317 0.6659
Li: 0.6669 0.6683 0.3341
Mo: 0.2571 0.5141 0.2771
Mo: 0.5930 0.8467 0.9439
Mo: 0.9235 0.1789 0.6090
Mo: 0.7429 0.4859 0.7229
Mo: 0.0765 0.8211 0.3910
Mo: 0.4071 0.1533 0.0561
Mo: 0.9039 0.6863 0.0910
Mo: 0.2348 0.0183 0.7588
Mo: 0.5692 0.3520 0.4230
Mo: 0.0961 0.3137 0.9090
Mo: 0.4308 0.6480 0.5770
Mo: 0.7652 0.9817 0.2412
O: 0.8624 0.7346 0.8684
O: 0.1991 0.0757 0.5385
O: 0.5305 0.4101 0.2039
O: 0.0530 0.4271 0.7164
O: 0.3868 0.7620 0.3850
O: 0.7130 0.0967 0.0515
O: 0.1376 0.2654 0.1316
O: 0.4695 0.5899 0.7961
O: 0.8009 0.9243 0.4615
O: 0.9470 0.5729 0.2836
O: 0.2870 0.9033 0.9485
O: 0.6132 0.2380 0.6150
O: 0.1938 0.5729 0.0530
O: 0.5273 0.9057 0.7207
O: 0.8594 0.2397 0.3848
O: 0.8062 0.4271 0.9470
O: 0.1406 0.7603 0.6152
O: 0.4727 0.0943 0.2793
O: 0.2777 0.4100 0.4696
O: 0.6117 0.7445 0.1369
O: 0.9444 0.0776 0.8011
O: 0.7223 0.5900 0.5304
O: 0.0556 0.9224 0.1989
O: 0.3883 0.2555 0.8631

***

DFT (meta-GGA SCAN) results for a crystal of Tl2PbAu2 relaxed with PBEsol.

Formation enthalpy at 0 K, kJ/mol of atoms: 0.2
Crystal system: tetragonal

abc: 3.8628 7.8406 7.8406
angles: 90.00 90.00 90.00
Atoms (fractional coordinates):
Pb: 0.0000 0.0000 0.0000
Pb: 0.0000 0.5000 0.5000
Tl: 0.5000 0.1709 0.6709
Tl: 0.5000 0.6709 0.8291
Tl: 0.5000 0.8291 0.3291
Tl: 0.5000 0.3291 0.1709
Au: 0.0000 0.3735 0.8735
Au: 0.0000 0.8735 0.6265
Au: 0.0000 0.6265 0.1265
Au: 0.0000 0.1265 0.3735

***

DFT (meta-GGA SCAN) results for a crystal of GaSiH2 relaxed with PBEsol.

Energy, eV/atom: -7.456
Crystal system: cubic

abc: 3.7865 3.7865 3.7865
angles: 60.00 60.00 60.00
Atoms (fractional coordinates):
H: 0.2500 0.2500 0.2500
H: 0.7500 0.7500 0.7500
Si: 0.0000 0.0000 0.0000
Ga: 0.5000 0.5000 0.5000